{"formula": "Th2Al4Ir3Pt", "functional": "GGA-PBE", "state": "optimized geometry", "lattice": [[4.213, 0.000, 0.000], [0.000, 4.213, 0.000], [0.000, 0.000, 10.582]], "species": ["Th", "Th", "Al", "Al", "Al", "Al", "Ir", "Ir", "Ir", "Pt"], "fractional_positions": [[0.000, 0.500, 0.246], [0.500, 0.000, 0.754], [0.000, 0.000, 0.000], [0.000, 0.500, 0.626], [0.500, 0.000, 0.374], [0.500, 0.500, 0.000], [0.000, 0.500, 0.861], [0.500, 0.000, 0.139], [0.500, 0.500, 0.500], [0.000, 0.000, 0.500]], "e_tot_ev_per_atom": -7.2017, "space_group": "No. 115", "magnetic_moment_mub_per_atom": 0.0000}

{"formula": "Sc2NbHgC", "functional": "GGA-PBE", "state": "optimized geometry", "lattice": [[4.496, 0.000, 0.000], [0.000, 4.496, 0.000], [0.000, 0.000, 4.377]], "species": ["Sc", "Sc", "Nb", "Hg", "C"], "fractional_positions": [[0.000, 0.500, 0.000], [0.500, 0.000, 0.000], [0.000, 0.000, 0.500], [0.500, 0.500, 0.500], [0.000, 0.000, 0.000]], "e_tot_ev_per_atom": -6.8704, "space_group": "No. 123", "magnetic_moment_mub_per_atom": 0.0000}

{"formula": "Co3BI", "functional": "GGA-PBE", "state": "optimized geometry", "lattice": [[3.987, 0.000, 0.000], [0.000, 3.987, 0.000], [0.000, 0.000, 3.987]], "species": ["Co", "Co", "Co", "B", "I"], "fractional_positions": [[0.000, 0.000, 0.500], [0.000, 0.500, 0.000], [0.500, 0.000, 0.000], [0.000, 0.000, 0.000], [0.500, 0.500, 0.500]], "raw_formation_energy_ev_per_atom": 0.481, "space_group": "No. 221", "polymorph_energy_mev_per_atom": 0.0, "magnetic_moment_mub_per_atom": 0.5677}

{"formula": "LiZrSb", "functional": "GGA-PBE", "state": "optimized geometry", "lattice": [[3.939, 0.000, 0.000], [0.000, 3.939, 0.000], [0.000, 0.000, 7.916]], "species": ["Li", "Li", "Zr", "Zr", "Sb", "Sb"], "fractional_positions": [[0.250, 0.750, 0.000], [0.750, 0.250, 0.000], [0.250, 0.250, 0.383], [0.750, 0.750, 0.617], [0.250, 0.250, 0.757], [0.750, 0.750, 0.243]], "raw_formation_energy_ev_per_atom": -0.646, "space_group": "No. 129", "polymorph_energy_mev_per_atom": 0.0, "magnetic_moment_mub_per_atom": 0.0000}

{"formula": "DyErSn", "functional": "GGA-PBE", "state": "optimized geometry", "lattice": [[12.067, 0.000, 0.000], [0.000, 3.541, 0.000], [-2.526, 0.000, 8.342]], "species": ["Dy", "Dy", "Dy", "Dy", "Er", "Er", "Er", "Er", "Sn", "Sn", "Sn", "Sn"], "fractional_positions": [[0.121, 0.000, 0.466], [0.379, 0.500, 0.534], [0.621, 0.500, 0.466], [0.879, 0.000, 0.534], [0.103, 0.500, 0.824], [0.397, 0.000, 0.176], [0.603, 0.000, 0.824], [0.897, 0.500, 0.176], [0.177, 0.500, 0.197], [0.323, 0.000, 0.803], [0.677, 0.000, 0.197], [0.823, 0.500, 0.803]], "space_group": "No. 12", "polymorph_energy_mev_per_atom": 214.9, "magnetic_moment_mub_per_atom": 0.0000}

{"formula": "K2NaCdH5", "functional": "GGA-PBE", "state": "optimized geometry", "lattice": [[-3.729, 3.729, 5.693], [3.729, -3.729, 5.693], [3.729, 3.729, -5.693]], "species": ["K", "K", "K", "K", "Na", "Na", "Cd", "Cd", "H", "H", "H", "H", "H", "H", "H", "H", "H", "H"], "fractional_positions": [[0.180, 0.680, 0.860], [0.320, 0.180, 0.500], [0.680, 0.820, 0.500], [0.820, 0.320, 0.140], [0.250, 0.250, 0.000], [0.750, 0.750, 0.000], [0.250, 0.750, 0.500], [0.750, 0.250, 0.500], [0.000, 0.000, 0.000], [0.016, 0.793, 0.500], [0.207, 0.707, 0.223], [0.293, 0.516, 0.500], [0.484, 0.984, 0.777], [0.500, 0.500, 0.000], [0.516, 0.016, 0.223], [0.707, 0.484, 0.500], [0.793, 0.293, 0.777], [0.984, 0.207, 0.500]], "e_tot_ev_per_atom": -2.4653, "space_group": "No. 140", "magnetic_moment_mub_per_atom": 0.0061}

{"formula": "Mg2TlCr", "functional": "GGA-PBE", "state": "optimized geometry", "lattice": [[6.896, 0.000, 0.000], [0.000, 6.896, 0.000], [0.000, 0.000, 6.896]], "species": ["Mg", "Mg", "Mg", "Mg", "Mg", "Mg", "Mg", "Mg", "Tl", "Tl", "Tl", "Tl", "Cr", "Cr", "Cr", "Cr"], "fractional_positions": [[0.000, 0.000, 0.000], [0.000, 0.500, 0.500], [0.250, 0.250, 0.250], [0.250, 0.750, 0.750], [0.500, 0.000, 0.500], [0.500, 0.500, 0.000], [0.750, 0.250, 0.750], [0.750, 0.750, 0.250], [0.000, 0.000, 0.500], [0.000, 0.500, 0.000], [0.500, 0.000, 0.000], [0.500, 0.500, 0.500], [0.250, 0.250, 0.750], [0.250, 0.750, 0.250], [0.750, 0.250, 0.250], [0.750, 0.750, 0.750]], "space_group": "No. 216", "polymorph_energy_mev_per_atom": 11.1, "magnetic_moment_mub_per_atom": 1.0082}

{"formula": "CsK2AsCl6", "functional": "GGA-PBE", "state": "optimized geometry", "lattice": [[0.000, 5.727, 5.727], [5.727, 0.000, 5.727], [5.727, 5.727, 0.000]], "species": ["Cs", "K", "K", "As", "Cl", "Cl", "Cl", "Cl", "Cl", "Cl"], "fractional_positions": [[0.000, 0.000, 0.000], [0.250, 0.250, 0.250], [0.750, 0.750, 0.750], [0.500, 0.500, 0.500], [0.281, 0.281, 0.719], [0.281, 0.719, 0.281], [0.281, 0.719, 0.719], [0.719, 0.281, 0.281], [0.719, 0.281, 0.719], [0.719, 0.719, 0.281]], "raw_formation_energy_ev_per_atom": -1.359, "space_group": "No. 225", "polymorph_energy_mev_per_atom": 90.5, "magnetic_moment_mub_per_atom": 0.0000}

{"formula": "Pr5MgS8", "functional": "GGA-PBE", "state": "optimized geometry", "lattice": [[-4.279, 4.279, 4.366], [4.279, -4.279, 4.366], [4.279, 4.279, -4.366]], "species": ["Pr", "Pr", "Pr", "Pr", "Pr", "Mg", "S", "S", "S", "S", "S", "S", "S", "S"], "fractional_positions": [[0.000, 0.000, 0.000], [0.252, 0.131, 0.612], [0.360, 0.748, 0.878], [0.518, 0.640, 0.388], [0.869, 0.482, 0.122], [0.750, 0.250, 0.500], [0.098, 0.354, 0.865], [0.145, 0.386, 0.401], [0.256, 0.855, 0.241], [0.488, 0.233, 0.135], [0.614, 0.015, 0.759], [0.646, 0.512, 0.744], [0.767, 0.902, 0.256], [0.985, 0.744, 0.599]], "raw_formation_energy_ev_per_atom": -1.904, "space_group": "No. 82", "magnetic_moment_mub_per_atom": 0.0000}

{"formula": "KZr2Mo", "functional": "GGA-PBE", "state": "optimized geometry", "lattice": [[3.307, 0.000, 0.000], [0.000, 5.142, 0.000], [0.000, 0.000, 11.371]], "species": ["K", "K", "Zr", "Zr", "Zr", "Zr", "Mo", "Mo"], "fractional_positions": [[0.000, 0.000, 0.000], [0.500, 0.500, 0.000], [0.000, 0.000, 0.454], [0.000, 0.500, 0.692], [0.500, 0.000, 0.692], [0.500, 0.500, 0.454], [0.000, 0.500, 0.269], [0.500, 0.000, 0.269]], "space_group": "No. 35", "polymorph_energy_mev_per_atom": 329.2, "magnetic_moment_mub_per_atom": 0.0000}

{"formula": "Sn2BiS4", "functional": "GGA-PBE", "state": "optimized geometry", "lattice": [[1.947, -6.525, 0.000], [1.947, 6.525, 0.000], [0.000, 0.000, 13.581]], "species": ["Sn", "Sn", "Sn", "Sn", "Bi", "Bi", "S", "S", "S", "S", "S", "S", "S", "S"], "fractional_positions": [[0.131, 0.869, 0.564], [0.131, 0.869, 0.936], [0.869, 0.131, 0.064], [0.869, 0.131, 0.436], [0.382, 0.618, 0.750], [0.618, 0.382, 0.250], [0.031, 0.969, 0.750], [0.227, 0.773, 0.119], [0.227, 0.773, 0.381], [0.500, 0.500, 0.000], [0.500, 0.500, 0.500], [0.773, 0.227, 0.619], [0.773, 0.227, 0.881], [0.969, 0.031, 0.250]], "raw_formation_energy_ev_per_atom": -0.324, "space_group": "No. 63", "polymorph_energy_mev_per_atom": 0.0, "magnetic_moment_mub_per_atom": 0.0000}

{"formula": "Mn2VNiSn", "functional": "GGA-PBE", "state": "optimized geometry", "lattice": [[4.366, 0.000, 0.000], [0.000, 4.366, 0.000], [0.000, 0.000, 4.499]], "species": ["Mn", "Mn", "V", "Ni", "Sn"], "fractional_positions": [[0.000, 0.500, 0.000], [0.500, 0.000, 0.000], [0.000, 0.000, 0.000], [0.000, 0.000, 0.500], [0.500, 0.500, 0.500]], "e_tot_ev_per_atom": -6.6631, "space_group": "No. 123", "magnetic_moment_mub_per_atom": 0.8476}

{"formula": "TaIr2", "functional": "GGA-PBE", "state": "optimized geometry", "lattice": [[4.414, 0.000, 0.000], [-2.207, 3.822, 0.000], [0.000, 0.000, 2.815]], "species": ["Ta", "Ir", "Ir"], "fractional_positions": [[0.000, 0.000, 0.000], [0.333, 0.667, 0.500], [0.667, 0.333, 0.500]], "e_tot_ev_per_atom": -10.1663, "space_group": "No. 191", "magnetic_moment_mub_per_atom": 0.0000}

{"formula": "Sr2BeCdGa", "functional": "GGA-PBE", "state": "optimized geometry", "lattice": [[6.086, 0.000, 0.000], [0.000, 6.086, 0.000], [0.000, 0.000, 4.291]], "species": ["Sr", "Sr", "Be", "Cd", "Ga"], "fractional_positions": [[0.000, 0.500, 0.000], [0.500, 0.000, 0.000], [0.000, 0.000, 0.500], [0.500, 0.500, 0.500], [0.000, 0.000, 0.000]], "e_tot_ev_per_atom": -2.1710, "space_group": "No. 123", "magnetic_moment_mub_per_atom": 0.0000}

{"formula": "Ac3MgS", "functional": "GGA-PBE", "state": "optimized geometry", "lattice": [[5.791, 0.000, 0.000], [0.000, 5.791, 0.000], [0.000, 0.000, 5.791]], "species": ["Ac", "Ac", "Ac", "Mg", "S"], "fractional_positions": [[0.000, 0.000, 0.500], [0.000, 0.500, 0.000], [0.500, 0.000, 0.000], [0.500, 0.500, 0.500], [0.000, 0.000, 0.000]], "raw_formation_energy_ev_per_atom": -0.654, "space_group": "No. 221", "magnetic_moment_mub_per_atom": 0.0000}

{"formula": "La3GeI7", "functional": "GGA-PBE", "state": "optimized geometry", "lattice": [[9.373, 0.000, 0.000], [-4.687, 8.118, 0.000], [0.000, 0.000, 7.332]], "species": ["La", "La", "La", "Ge", "I", "I", "I", "I", "I", "I", "I"], "fractional_positions": [[0.171, 0.342, 0.000], [0.171, 0.829, 0.000], [0.658, 0.829, 0.000], [0.333, 0.667, 0.206], [0.000, 0.000, 0.747], [0.014, 0.507, 0.749], [0.323, 0.162, 0.233], [0.493, 0.507, 0.749], [0.493, 0.986, 0.749], [0.838, 0.162, 0.233], [0.838, 0.677, 0.233]], "raw_formation_energy_ev_per_atom": -1.172, "space_group": "No. 156", "magnetic_moment_mub_per_atom": 0.1818}

{"formula": "Nb2GeHPd", "functional": "GGA-PBE", "state": "optimized geometry", "lattice": [[4.016, 0.000, 0.000], [0.000, 4.016, 0.000], [0.000, 0.000, 4.272]], "species": ["Nb", "Nb", "Ge", "H", "Pd"], "fractional_positions": [[0.000, 0.500, 0.000], [0.500, 0.000, 0.000], [0.000, 0.000, 0.500], [0.500, 0.500, 0.000], [0.500, 0.500, 0.500]], "e_tot_ev_per_atom": -6.9387, "space_group": "No. 123", "magnetic_moment_mub_per_atom": 0.0000}

{"formula": "BaEuCuRh", "functional": "GGA-PBE", "state": "optimized geometry", "lattice": [[7.454, 0.000, 0.000], [0.000, 7.454, 0.000], [0.000, 0.000, 7.454]], "species": ["Ba", "Ba", "Ba", "Ba", "Eu", "Eu", "Eu", "Eu", "Cu", "Cu", "Cu", "Cu", "Rh", "Rh", "Rh", "Rh"], "fractional_positions": [[0.000, 0.000, 0.000], [0.000, 0.500, 0.500], [0.500, 0.000, 0.500], [0.500, 0.500, 0.000], [0.000, 0.000, 0.500], [0.000, 0.500, 0.000], [0.500, 0.000, 0.000], [0.500, 0.500, 0.500], [0.250, 0.250, 0.250], [0.250, 0.750, 0.750], [0.750, 0.250, 0.750], [0.750, 0.750, 0.250], [0.250, 0.250, 0.750], [0.250, 0.750, 0.250], [0.750, 0.250, 0.250], [0.750, 0.750, 0.750]], "e_tot_ev_per_atom": -5.9604, "space_group": "No. 216", "magnetic_moment_mub_per_atom": 1.7136}

{"formula": "La5Pm3Se8", "functional": "GGA-PBE", "state": "optimized geometry", "lattice": [[4.273, 2.467, 6.965], [-4.273, 2.467, 6.965], [0.000, -4.934, 6.965]], "species": ["La", "La", "La", "La", "La", "Pm", "Pm", "Pm", "Se", "Se", "Se", "Se", "Se", "Se", "Se", "Se"], "fractional_positions": [[0.000, 0.000, 0.000], [0.000, 0.500, 0.500], [0.500, 0.000, 0.500], [0.500, 0.500, 0.000], [0.500, 0.500, 0.500], [0.000, 0.000, 0.500], [0.000, 0.500, 0.000], [0.500, 0.000, 0.000], [0.245, 0.750, 0.750], [0.248, 0.248, 0.248], [0.250, 0.250, 0.755], [0.250, 0.755, 0.250], [0.750, 0.245, 0.750], [0.750, 0.750, 0.245], [0.752, 0.752, 0.752], [0.755, 0.250, 0.250]], "raw_formation_energy_ev_per_atom": -1.938, "space_group": "No. 166", "magnetic_moment_mub_per_atom": 0.0000}

{"formula": "Ce2ZnIn", "functional": "GGA-PBE", "state": "optimized geometry", "lattice": [[3.888, 0.000, 0.000], [0.000, 3.888, 0.000], [0.000, 0.000, 6.793]], "species": ["Ce", "Ce", "Zn", "In"], "fractional_positions": [[0.000, 0.000, 0.212], [0.000, 0.000, 0.788], [0.500, 0.500, 0.000], [0.500, 0.500, 0.500]], "e_tot_ev_per_atom": -4.2158, "space_group": "No. 123", "magnetic_moment_mub_per_atom": 0.4290}

{"formula": "SrAg4", "functional": "GGA-PBE", "state": "optimized geometry", "lattice": [[6.849, 0.000, 0.000], [0.000, 6.849, 0.000], [0.000, 0.000, 6.849]], "species": ["Sr", "Sr", "Ag", "Ag", "Ag", "Ag", "Ag", "Ag", "Ag", "Ag"], "fractional_positions": [[0.000, 0.000, 0.000], [0.500, 0.500, 0.500], [0.250, 0.250, 0.250], [0.250, 0.250, 0.750], [0.250, 0.750, 0.250], [0.250, 0.750, 0.750], [0.750, 0.250, 0.250], [0.750, 0.250, 0.750], [0.750, 0.750, 0.250], [0.750, 0.750, 0.750]], "e_tot_ev_per_atom": -1.9229, "space_group": "No. 229", "magnetic_moment_mub_per_atom": 0.0000}

{"formula": "SmTmGaPb", "functional": "GGA-PBE", "state": "optimized geometry", "lattice": [[7.486, 0.000, 0.000], [0.000, 7.486, 0.000], [0.000, 0.000, 7.486]], "species": ["Sm", "Sm", "Sm", "Sm", "Tm", "Tm", "Tm", "Tm", "Ga", "Ga", "Ga", "Ga", "Pb", "Pb", "Pb", "Pb"], "fractional_positions": [[0.000, 0.000, 0.000], [0.000, 0.500, 0.500], [0.500, 0.000, 0.500], [0.500, 0.500, 0.000], [0.000, 0.000, 0.500], [0.000, 0.500, 0.000], [0.500, 0.000, 0.000], [0.500, 0.500, 0.500], [0.250, 0.250, 0.250], [0.250, 0.750, 0.750], [0.750, 0.250, 0.750], [0.750, 0.750, 0.250], [0.250, 0.250, 0.750], [0.250, 0.750, 0.250], [0.750, 0.250, 0.250], [0.750, 0.750, 0.750]], "e_tot_ev_per_atom": -4.3982, "space_group": "No. 216", "magnetic_moment_mub_per_atom": 0.0000}

{"formula": "Hg2AuI", "functional": "GGA-PBE", "state": "optimized geometry", "lattice": [[4.273, 0.000, 0.000], [-2.137, 3.701, 0.000], [0.000, 0.000, 22.146]], "species": ["Hg", "Hg", "Hg", "Hg", "Hg", "Hg", "Au", "Au", "Au", "I", "I", "I"], "fractional_positions": [[0.000, 0.000, 0.000], [0.000, 0.000, 0.201], [0.333, 0.667, 0.667], [0.333, 0.667, 0.867], [0.667, 0.333, 0.333], [0.667, 0.333, 0.534], [0.000, 0.000, 0.600], [0.333, 0.667, 0.267], [0.667, 0.333, 0.934], [0.000, 0.000, 0.430], [0.333, 0.667, 0.097], [0.667, 0.333, 0.764]], "raw_formation_energy_ev_per_atom": 0.026, "space_group": "No. 160", "polymorph_energy_mev_per_atom": 5.4, "magnetic_moment_mub_per_atom": 0.0000}

{"formula": "Ac2La2PrY", "functional": "GGA-PBE", "state": "optimized geometry", "lattice": [[6.787, 0.000, 0.000], [0.000, 7.305, 0.000], [-0.726, 0.000, 9.387]], "species": ["Ac", "Ac", "Ac", "Ac", "La", "La", "La", "La", "Pr", "Pr", "Y", "Y"], "fractional_positions": [[0.178, 0.001, 0.175], [0.178, 0.499, 0.175], [0.822, 0.501, 0.825], [0.822, 0.999, 0.825], [0.090, 0.750, 0.515], [0.409, 0.250, 0.502], [0.591, 0.750, 0.498], [0.910, 0.250, 0.485], [0.316, 0.250, 0.844], [0.684, 0.750, 0.156], [0.342, 0.750, 0.852], [0.658, 0.250, 0.148]], "e_tot_ev_per_atom": -4.7553, "space_group": "No. 11", "magnetic_moment_mub_per_atom": 0.0000}

{"formula": "RbGaAs", "functional": "GGA-PBE", "state": "optimized geometry", "lattice": [[4.254, 0.000, 0.000], [-2.126, 5.432, 0.000], [-0.027, -1.270, 7.916]], "species": ["Rb", "Rb", "Ga", "Ga", "As", "As"], "fractional_positions": [[0.122, 0.240, 0.329], [0.878, 0.760, 0.671], [0.383, 0.765, 0.038], [0.617, 0.235, 0.962], [0.180, 0.363, 0.809], [0.820, 0.637, 0.191]], "space_group": "No. 2", "polymorph_energy_mev_per_atom": 0.0, "magnetic_moment_mub_per_atom": 0.0000}